ScAl2As: relaxed, PBE-GGA.

abc: 2.9301 4.6602 5.3893
angles: 90.00 90.00 90.00
With the nearest neighbours (Å) after each atom.
Atoms (fractional coordinates):
Sc: 0.0000 0.0000 0.0000  2 Sc 2.93, 4 As 3.03, 8 Al 3.03-3.10
Al: 0.5000 0.0000 0.5074  4 Al 2.68-2.93, 2 As 2.76
Al: 0.5000 0.5000 0.7534  2 As 2.59-2.80, 2 Al 2.68
As: 0.5000 0.5000 0.2336  4 Al 2.59-2.80

Values from the calculation:
- crystal system = orthorhombic
- SG = No. 25

PmErOsPd: relaxed, PBE-GGA.

abc: 4.9213 4.9213 4.9213
angles: 60.00 60.00 60.00
With the nearest neighbours (Å) after each atom.
Atoms (fractional coordinates):
Pm: 0.0000 0.0000 0.0000  4 Os 3.01, 4 Pd 3.01
Er: 0.5000 0.5000 0.5000  4 Os 3.01, 4 Pd 3.01
Os: 0.7500 0.7500 0.7500  4 Er 3.01, 4 Pm 3.01
Pd: 0.2500 0.2500 0.2500  4 Er 3.01, 4 Pm 3.01

Values from the calculation:
- crystal system = cubic
- SG = No. 216

RbBaCa2Tl: relaxed, PBE-GGA.

abc: 6.2829 6.2829 6.8443
angles: 90.00 90.00 90.00
With the nearest neighbours (Å) after each atom.
Atoms (fractional coordinates):
Rb: 0.0000 0.0000 0.0000  4 Ba 4.44, 8 Ca 4.65
Ba: 0.5000 0.5000 0.0000  2 Tl 3.42
Ca: 0.0000 0.5000 0.5000  2 Tl 3.14
Ca: 0.5000 0.0000 0.5000  2 Tl 3.14
Tl: 0.5000 0.5000 0.5000  4 Ca 3.14, 2 Ba 3.42

Values from the calculation:
- crystal system = tetragonal
- SG = No. 123

Number 1: total magnetic moment 0.0000 μB/atom, calculated formation energy -372 meV per atom, density 3923 kg/m3. Number 2: total magnetic moment 0.0000 μB/atom, calculated formation energy -465 meV per atom, density 11997 kg/m3. Number 3: total magnetic moment 0.0000 μB/atom, calculated formation energy -20 meV per atom, density 3118 kg/m3.